! PBEsol BeMo2Au, relaxed; values from VASP
! energy of formation from the pure elements: 1.454 eV/f.u.
! total magnetic moment: 0.00 μB/atom
! space-group type: No. 166
! DOS at the Fermi energy: 2.65 states/eV/cell
! raw total energy: -7.50 eV per atom
&SYSTEM
  ibrav = 0, nat = 4, ntyp = 3
/
ATOMIC_SPECIES
Mo 95.94 Mo.upf
Be 9.01 Be.upf
Au 196.97 Au.upf
CELL_PARAMETERS angstrom
2.7272 0.0000 0.0000
1.3636 2.3618 0.0000
1.3636 0.7873 8.9332
ATOMIC_POSITIONS angstrom
Mo 4.0908 2.3618 6.5257
Mo 1.3636 0.7873 2.4076
Be 2.7272 1.5745 4.4666
Au 0.0000 0.0000 0.0000

***

! PBEsol BeMo2Au, relaxed; values from VASP
! energy of formation from the pure elements: 0.618 eV/f.u.
! total magnetic moment: 0.00 μB/atom
! space-group type: No. 47
! DOS at the Fermi energy: 1.57 states/eV/cell
! raw total energy: -7.71 eV per atom
&SYSTEM
  ibrav = 0, nat = 4, ntyp = 3
/
ATOMIC_SPECIES
Au 196.97 Au.upf
Mo 95.94 Mo.upf
Be 9.01 Be.upf
CELL_PARAMETERS angstrom
-0.8642 2.5645 0.4972
-2.7161 -0.3320 -3.0084
-3.4316 -1.7955 3.2964
ATOMIC_POSITIONS angstrom
Au -1.7901 1.1162 -1.2556
Mo -2.4985 -1.3073 2.4000
Mo -0.9331 -0.4882 0.8963
Be -3.5059 0.2185 0.3926